! BaAcGaIr, relaxed, DFT PBE-GGA; values from VASP
&SYSTEM
  ibrav = 0, nat = 4, ntyp = 4
/
ATOMIC_SPECIES
Ba 137.33 Ba.upf
Ac 227.00 Ac.upf
Ga 69.72 Ga.upf
Ir 192.22 Ir.upf
CELL_PARAMETERS angstrom
3.850 -2.224 0.000
3.850 2.224 0.000
-2.583 0.000 8.416
ATOMIC_POSITIONS angstrom
Ba 0.000 0.000 0.000
Ac 5.115 0.000 4.246
Ga 2.548 0.000 6.241
Ir -0.019 0.000 5.992
! Crystal system: monoclinic
! Energy relative to the elements, eV/atom: -0.493
! Magnetic moment, μB/f.u.: 0.01

! Ba2AcGa12Ir3, relaxed, DFT PBE-GGA; values from VASP
&SYSTEM
  ibrav = 0, nat = 18, ntyp = 4
/
ATOMIC_SPECIES
Ba 137.33 Ba.upf
Ac 227.00 Ac.upf
Ga 69.72 Ga.upf
Ir 192.22 Ir.upf
CELL_PARAMETERS angstrom
4.609 2.661 6.770
-4.609 2.661 6.770
0.000 -5.322 6.770
ATOMIC_POSITIONS angstrom
Ba 0.000 0.000 1.783
Ba 0.000 0.000 18.527
Ac 0.000 0.000 10.155
Ga -2.921 -1.686 9.188
Ga 0.000 -1.833 6.985
Ga -1.587 0.916 6.985
Ga 0.000 -3.373 11.122
Ga -2.921 1.686 11.122
Ga -1.587 -0.916 13.325
Ga 1.587 0.916 6.985
Ga 2.921 -1.686 9.188
Ga 0.000 3.373 9.188
Ga 1.587 -0.916 13.325
Ga 0.000 1.833 13.325
Ga 2.921 1.686 11.122
Ir -2.304 -1.330 6.770
Ir -2.304 1.330 13.540
Ir 0.000 2.661 6.770
! Crystal system: trigonal
! Energy relative to the elements, eV/atom: -0.165
! Magnetic moment, μB/f.u.: 0.00

! BaNaAcGa, relaxed, DFT PBE-GGA; values from VASP
&SYSTEM
  ibrav = 0, nat = 4, ntyp = 4
/
ATOMIC_SPECIES
Ba 137.33 Ba.upf
Na 22.99 Na.upf
Ac 227.00 Ac.upf
Ga 69.72 Ga.upf
CELL_PARAMETERS angstrom
0.000 4.148 4.148
4.148 0.000 4.148
4.148 4.148 0.000
ATOMIC_POSITIONS angstrom
Ba 0.000 0.000 0.000
Na 2.074 2.074 2.074
Ac 4.148 4.148 4.148
Ga 6.222 6.222 6.222
! Crystal system: cubic
! Energy relative to the elements, eV/atom: -0.076
! Magnetic moment, μB/f.u.: 0.00

! BaAcGaNi, relaxed, DFT PBE-GGA; values from VASP
&SYSTEM
  ibrav = 0, nat = 4, ntyp = 4
/
ATOMIC_SPECIES
Ba 137.33 Ba.upf
Ac 227.00 Ac.upf
Ga 69.72 Ga.upf
Ni 58.69 Ni.upf
CELL_PARAMETERS angstrom
3.789 -2.190 0.000
3.789 2.190 0.000
-2.536 0.000 8.311
ATOMIC_POSITIONS angstrom
Ba 0.000 0.000 0.000
Ac -0.001 0.000 4.137
Ga 2.527 0.000 2.194
Ni 5.055 0.000 2.309
! Crystal system: monoclinic
! Energy relative to the elements, eV/atom: -0.304
! Magnetic moment, μB/f.u.: 0.00

! BaAc2GaO5, relaxed, DFT PBE-GGA; values from VASP
&SYSTEM
  ibrav = 0, nat = 18, ntyp = 4
/
ATOMIC_SPECIES
Ba 137.33 Ba.upf
Ac 227.00 Ac.upf
Ga 69.72 Ga.upf
O 16.00 O.upf
CELL_PARAMETERS angstrom
-3.630 3.630 5.920
3.630 -3.630 5.920
3.630 3.630 -5.920
ATOMIC_POSITIONS angstrom
Ba 0.000 0.000 2.960
Ba 0.000 0.000 8.879
Ac 4.893 1.263 0.000
Ac 1.263 2.367 0.000
Ac 2.367 1.263 5.920
Ac -1.263 2.367 5.920
Ga 3.630 0.000 2.960
Ga 0.000 3.630 2.960
O 0.000 0.000 0.000
O 2.617 1.013 -1.581
O 2.617 -1.013 4.338
O 2.617 1.013 1.581
O 2.617 -1.013 7.501
O 0.000 0.000 5.920
O 1.013 4.643 -1.581
O 1.013 2.617 4.338
O 1.013 4.643 1.581
O 1.013 2.617 7.501
! Crystal system: tetragonal
! Magnetic moment, μB/f.u.: 0.00
! Uncorrected formation energy, eV/atom: -2.59

! Ba3AcGa2O8, relaxed, DFT PBE-GGA; values from VASP
&SYSTEM
  ibrav = 0, nat = 14, ntyp = 4
/
ATOMIC_SPECIES
Ba 137.33 Ba.upf
Ac 227.00 Ac.upf
Ga 69.72 Ga.upf
O 16.00 O.upf
CELL_PARAMETERS angstrom
6.201 0.000 0.000
-3.100 5.370 0.000
0.000 0.000 7.817
ATOMIC_POSITIONS angstrom
Ba 0.000 0.000 0.000
Ba 0.000 3.580 5.200
Ba 3.100 1.790 2.616
Ac 0.000 0.000 3.908
Ga 0.000 3.580 1.634
Ga 3.100 1.790 6.183
O 0.000 1.863 2.371
O -1.487 4.439 2.371
O 0.000 3.580 7.633
O 1.613 0.932 5.445
O 1.487 4.439 2.371
O 3.100 1.790 0.183
O 4.588 0.932 5.445
O 3.100 3.507 5.445
! Crystal system: trigonal
! Magnetic moment, μB/f.u.: 1.13
! Uncorrected formation energy, eV/atom: -2.34